The following is a PBE calculation of a geometry-optimized Si2SbRh structure, from Alexandria.

```
Si2SbRh
1.0
-3.024 -2.244 2.631
3.261 -3.033 -1.127
1.761 0.867 2.763
Rh Sb Si
1 1 2
Direct
0.500 0.000 0.500 Rh
0.000 0.500 0.500 Sb
0.000 0.000 0.000 Si
0.500 0.500 0.000 Si
```

Properties
Spin magnetization, μB per formula unit: 0.0
SG: Cmmm, No. 65
Formation energy from raw total energies, eV per atom: 0.303



The following is a PBE calculation of a geometry-optimized B2C structure, from Alexandria.

```
B2C
1.0
2.396 -3.895 4.718
4.282 -1.999 4.566
-2.045 2.327 3.660
B C
8 4
Direct
0.335 0.335 0.629 B
0.321 0.321 0.995 B
0.460 0.460 0.850 B
0.540 0.540 0.150 B
0.679 0.679 0.005 B
0.665 0.665 0.371 B
0.967 0.967 0.308 B
0.033 0.033 0.692 B
0.792 0.792 0.181 C
0.851 0.851 0.443 C
0.149 0.149 0.557 C
0.208 0.208 0.819 C
```

Properties
Spin magnetization, μB per formula unit: 0.0
SG: C2/m, No. 12
Formation energy from the elements, eV per atom: 0.420



The following is a PBE calculation of a geometry-optimized KTlAg2I6 structure, from Alexandria.

```
KTlAg2I6
1.0
-3.356 4.731 6.160
-5.430 -2.614 6.601
1.863 -0.298 9.033
K Tl Ag I
1 1 2 6
Direct
0.730 0.793 0.757 K
0.323 0.267 0.102 Tl
0.513 0.516 0.454 Ag
0.016 0.006 0.962 Ag
0.693 0.246 0.179 I
0.221 0.818 0.273 I
0.805 0.704 0.162 I
0.339 0.767 0.743 I
0.800 0.221 0.642 I
0.222 0.324 0.741 I
```

Properties
Spin magnetization, μB per formula unit: 0.0
SG: P1, No. 1
Formation energy from raw total energies, eV per atom: -0.477



The following is a PBE calculation of a geometry-optimized Mg4SiMo structure, from Alexandria.

```
Mg4SiMo
1.0
4.413 -3.239 0.182
2.565 -0.869 4.761
-0.301 -4.906 2.417
Mg Si Mo
4 1 1
Direct
0.875 0.375 0.375 Mg
0.375 0.375 0.875 Mg
0.375 0.875 0.375 Mg
0.375 0.375 0.375 Mg
0.000 0.000 0.000 Si
0.750 0.750 0.750 Mo
```

Properties
Spin magnetization, μB per formula unit: 2.5
SG: F-43m, No. 216
Formation energy from raw total energies, eV per atom: 0.632



The following is a PBE calculation of a geometry-optimized RbTi2Hg2 structure, from Alexandria.

```
RbTi2Hg2
1.0
8.818 0.000 0.000
0.000 8.818 0.000
0.000 0.000 3.074
Hg Rb Ti
4 2 4
Direct
0.184 0.684 0.500 Hg
0.684 0.816 0.500 Hg
0.816 0.316 0.500 Hg
0.316 0.184 0.500 Hg
0.000 0.000 0.000 Rb
0.500 0.500 0.000 Rb
0.395 0.895 0.000 Ti
0.895 0.605 0.000 Ti
0.605 0.105 0.000 Ti
0.105 0.395 0.000 Ti
```

Properties
Spin magnetization, μB per formula unit: 3.1
SG: P4/mbm, No. 127
Formation energy from the elements, eV per atom: 0.256



The following is a PBE calculation of a geometry-optimized Nd2Sm5Tm2 structure, from Alexandria.

```
Nd2Sm5Tm2
1.0
8.580 0.000 0.000
0.000 11.068 0.000
-4.290 -5.534 6.439
Nd Sm Tm
4 10 4
Direct
0.000 0.036 0.000 Nd
0.500 0.536 0.000 Nd
0.357 0.423 0.500 Nd
0.643 0.923 0.500 Nd
0.233 0.704 0.839 Sm
0.767 0.865 0.161 Sm
0.105 0.204 0.839 Sm
0.895 0.365 0.161 Sm
0.192 0.914 0.262 Sm
0.808 0.652 0.738 Sm
0.570 0.414 0.262 Sm
0.430 0.152 0.738 Sm
0.005 0.778 0.500 Sm
0.995 0.278 0.500 Sm
0.232 0.594 0.224 Tm
0.768 0.370 0.776 Tm
0.492 0.094 0.224 Tm
0.508 0.870 0.776 Tm
```

Properties
Spin magnetization, μB per formula unit: 0.0
SG: Ima2, No. 46
Formation energy from the elements, eV per atom: 0.201



The following is a PBE calculation of a geometry-optimized KNa3Cd structure, from Alexandria.

```
KNa3Cd
1.0
6.561 0.000 0.000
0.000 6.561 0.000
0.000 0.000 6.561
Na K Cd
3 1 1
Direct
0.000 0.500 0.000 Na
0.000 0.000 0.500 Na
0.500 0.000 0.000 Na
0.000 0.000 0.000 K
0.500 0.500 0.500 Cd
```

Properties
Spin magnetization, μB per formula unit: 0.0
SG: Pm-3m, No. 221
Formation energy from the elements, eV per atom: 0.474



The following is a PBE calculation of a geometry-optimized YCuCl3 structure, from Alexandria.

```
YCuCl3
1.0
-4.600 -1.287 0.051
0.909 -3.379 -3.252
0.912 -3.122 3.499
Y Cu Cl
1 1 3
Direct
0.500 0.500 0.500 Y
0.000 0.000 0.000 Cu
0.000 0.500 0.000 Cl
0.000 0.000 0.500 Cl
0.500 0.000 0.000 Cl
```

Properties
Spin magnetization, μB per formula unit: 1.0
SG: Pm-3m, No. 221
Formation energy from raw total energies, eV per atom: -0.756